Record 1
Here is a geometry-optimized AsOsS2 structure from the Alexandria database. Energies are from PBE.

SG: R-3m (166)
VASP energy: -5.392 eV/atom
Density of states at the Fermi level: 2.40 states/eV/f.u.

Cell and atoms, written as POSCAR:
```
AsOsS2
1.0
2.9344 0.0000 0.0000
-1.4672 2.5413 0.0000
0.0000 0.0000 26.4615
As Os S
3 3 6
Cartesian
0.0000 0.0000 0.0000 As
0.0000 1.6942 17.6410 As
1.4672 0.8471 8.8205 As
0.0000 0.0000 13.2308 Os
0.0000 1.6942 4.4103 Os
1.4672 0.8471 22.0513 Os
0.0000 0.0000 11.0103 S
0.0000 0.0000 15.4512 S
0.0000 1.6942 2.1898 S
0.0000 1.6942 6.6307 S
1.4672 0.8471 19.8308 S
1.4672 0.8471 24.2717 S
```

Record 2
Here is a geometry-optimized Ca2IO6 structure from the Alexandria database. Energies are from PBE.

SG: P4/mnc (128)
VASP energy: -5.386 eV/atom
Density of states at the Fermi level: 4.30 states/eV/f.u.

Cell and atoms, written as POSCAR:
```
Ca2IO6
1.0
5.6126 0.0000 0.0000
0.0000 5.6126 0.0000
0.0000 0.0000 8.1410
Ca I O
4 2 12
Cartesian
0.0000 2.8063 2.0353 Ca
0.0000 2.8063 6.1058 Ca
2.8063 0.0000 2.0353 Ca
2.8063 0.0000 6.1058 Ca
0.0000 0.0000 0.0000 I
2.8063 2.8063 4.0705 I
0.0000 0.0000 1.8888 O
0.0000 0.0000 6.2522 O
0.7713 1.7255 0.0000 O
1.0807 2.0350 4.0705 O
1.7255 4.8413 0.0000 O
2.0350 4.5318 4.0705 O
2.8063 2.8063 2.1817 O
2.8063 2.8063 5.9593 O
3.5776 1.0807 4.0705 O
3.8870 0.7713 0.0000 O
4.5318 3.5776 4.0705 O
4.8413 3.8870 0.0000 O
```

Record 3
Here is a geometry-optimized Rb2GaTeS4 structure from the Alexandria database. Energies are from PBE.

SG: Fddd (70)
VASP energy: -3.658 eV/atom
Density of states at the Fermi level: 1.72 states/eV/f.u.

Cell and atoms, written as POSCAR:
```
Rb2GaTeS4
1.0
0.0000 7.5222 11.1401
3.3730 0.0000 11.1401
3.3730 7.5222 0.0000
Rb Ga Te S
4 2 2 8
Cartesian
2.5298 5.6417 1.1237 Rb
4.2163 9.4028 6.6937 Rb
2.5298 5.6417 15.5865 Rb
4.2163 9.4028 21.1566 Rb
2.5298 5.6417 8.3551 Ga
4.2163 9.4028 13.9251 Ga
0.8433 1.8806 2.7850 Te
5.9028 13.1639 19.4952 Te
3.9636 4.0705 7.4416 S
3.9636 7.2128 9.2686 S
5.6501 7.8316 14.8386 S
5.6501 10.9739 13.0117 S
1.0960 4.0705 9.2686 S
1.0960 7.2128 7.4416 S
2.7825 7.8316 13.0117 S
2.7825 10.9739 14.8386 S
```

Record 4
Here is a geometry-optimized La2Al5Pt3 structure from the Alexandria database. Energies are from PBE.

SG: Cmc2_1 (36)
VASP energy: -5.634 eV/atom
Formation enthalpy at 0 K: -93.1 kJ/mol of atoms
Density of states at the Fermi level: 5.80 states/eV/f.u.

Cell and atoms, written as POSCAR:
```
La2Al5Pt3
1.0
2.2035 -12.8383 0.0000
2.2035 12.8383 0.0000
0.0000 0.0000 6.8909
La Al Pt
4 10 6
Cartesian
2.2035 12.3476 3.4455 La
2.2035 4.5105 3.2004 La
2.2035 -4.5105 6.6458 La
2.2035 -12.3476 0.0000 La
2.2035 10.1867 0.9947 Al
2.2035 7.5264 4.4479 Al
2.2035 7.4041 1.7386 Al
2.2035 3.2791 6.8170 Al
2.2035 1.4664 2.2838 Al
2.2035 -1.4664 5.7293 Al
2.2035 -3.2791 3.3716 Al
2.2035 -7.4041 5.1841 Al
2.2035 -7.5264 1.0024 Al
2.2035 -10.1867 4.4402 Al
2.2035 10.0479 5.1904 Pt
2.2035 5.8175 6.5278 Pt
2.2035 1.3866 4.9176 Pt
2.2035 -1.3866 1.4721 Pt
2.2035 -5.8175 3.0823 Pt
2.2035 -10.0479 1.7449 Pt
```

Record 5
Here is a geometry-optimized YTh3In4 structure from the Alexandria database. Energies are from PBE.

SG: Pmna (53)
VASP energy: -5.199 eV/atom
Formation enthalpy at 0 K: -23.1 kJ/mol of atoms
Density of states at the Fermi level: 9.03 states/eV/f.u.
Distance to the lowest polymorph of the same formula: 39 meV per atom

Cell and atoms, written as POSCAR:
```
YTh3In4
1.0
9.7364 0.0000 0.0000
0.0000 6.8598 0.0000
0.0000 0.0000 6.8047
Y Th In
2 6 8
Cartesian
0.0000 0.0000 0.0000 Y
4.8682 0.0000 3.4023 Y
0.0000 3.4299 0.0000 Th
2.4341 1.8176 1.7012 Th
2.4341 5.0422 5.1035 Th
4.8682 3.4299 3.4023 Th
7.3023 1.8176 1.7012 Th
7.3023 5.0422 5.1035 Th
0.0000 0.0000 3.4023 In
0.0000 3.4299 3.4023 In
2.4341 1.6306 5.1035 In
2.4341 5.2292 1.7012 In
4.8682 0.0000 0.0000 In
4.8682 3.4299 0.0000 In
7.3023 1.6306 5.1035 In
7.3023 5.2292 1.7012 In
```

Record 6
Here is a geometry-optimized SiGe3Au structure from the Alexandria database. Energies are from PBE.

SG: Pm-3m (221)
VASP energy: -3.610 eV/atom
Density of states at the Fermi level: 2.84 states/eV/f.u.
Distance to the lowest polymorph of the same formula: 254 meV per atom

Cell and atoms, written as POSCAR:
```
SiGe3Au
1.0
5.0032 0.0000 0.0000
0.0000 5.0032 0.0000
0.0000 0.0000 5.0032
Si Ge Au
1 3 1
Cartesian
0.0000 0.0000 0.0000 Si
0.0000 2.5016 2.5016 Ge
2.5016 0.0000 2.5016 Ge
2.5016 2.5016 0.0000 Ge
2.5016 2.5016 2.5016 Au
```

Record 7
Here is a geometry-optimized Zr2TlCo structure from the Alexandria database. Energies are from PBE.

SG: R-3m (166)
VASP energy: -6.711 eV/atom
Formation enthalpy at 0 K: -6.7 kJ/mol of atoms
Density of states at the Fermi level: 4.76 states/eV/f.u.

Cell and atoms, written as POSCAR:
```
Zr2TlCo
1.0
3.4759 0.0000 0.0000
-1.7380 3.0103 0.0000
0.0000 0.0000 24.5862
Zr Tl Co
6 3 3
Cartesian
0.0000 0.0000 5.6423 Zr
0.0000 0.0000 18.9439 Zr
0.0000 2.0068 10.7485 Zr
0.0000 2.0068 22.0331 Zr
1.7380 1.0034 2.5531 Zr
1.7380 1.0034 13.8377 Zr
0.0000 0.0000 0.0000 Tl
0.0000 2.0068 16.3908 Tl
1.7380 1.0034 8.1954 Tl
0.0000 0.0000 12.2931 Co
0.0000 2.0068 4.0977 Co
1.7380 1.0034 20.4885 Co
```

Record 8
Here is a geometry-optimized Cs3GePb4 structure from the Alexandria database. Energies are from PBE.

SG: Pmmn (59)
VASP energy: -2.910 eV/atom
Formation enthalpy at 0 K: -15.3 kJ/mol of atoms
Density of states at the Fermi level: 3.24 states/eV/f.u.

Cell and atoms, written as POSCAR:
```
Cs3GePb4
1.0
7.3001 0.0000 0.0000
0.0000 14.5926 0.0000
0.0000 0.0000 6.8718
Cs Ge Pb
6 2 8
Cartesian
1.8250 14.5855 1.2557 Cs
1.8250 3.6481 3.6669 Cs
1.8250 7.3034 1.2557 Cs
5.4751 0.0071 5.6161 Cs
5.4751 7.2892 5.6161 Cs
5.4751 10.9444 3.2049 Cs
1.8250 10.9444 2.1491 Ge
5.4751 3.6481 4.7227 Ge
0.0145 3.6481 0.1610 Pb
1.8250 9.3191 4.6413 Pb
1.8250 12.5698 4.6413 Pb
3.6356 3.6481 0.1610 Pb
3.6645 10.9444 6.7108 Pb
5.4751 2.0228 2.2305 Pb
5.4751 5.2735 2.2305 Pb
7.2856 10.9444 6.7108 Pb
```

Record 9
Here is a geometry-optimized Pr2Ho7Tm3 structure from the Alexandria database. Energies are from PBE.

SG: P2/m (10)
VASP energy: -4.505 eV/atom
Formation enthalpy at 0 K: 7.7 kJ/mol of atoms
Density of states at the Fermi level: 17.33 states/eV/f.u.
Distance to the lowest polymorph of the same formula: 0 meV per atom

Cell and atoms, written as POSCAR:
```
Pr2Ho7Tm3
1.0
6.3114 0.0000 0.0000
0.0000 3.5018 0.0000
-1.8702 0.0000 17.2675
Pr Ho Tm
2 7 3
Cartesian
0.0543 0.0000 2.9948 Pr
4.3869 0.0000 14.2727 Pr
-0.9351 1.7509 8.6338 Ho
0.2023 0.0000 11.5103 Ho
-0.2458 0.0000 17.2456 Ho
1.1064 1.7509 5.8375 Ho
3.3348 1.7509 11.4300 Ho
4.6870 0.0000 0.0219 Ho
4.2388 0.0000 5.7572 Ho
1.2753 1.7509 14.5551 Tm
2.2206 0.0000 8.6338 Tm
3.1659 1.7509 2.7124 Tm
```

Record 10
Here is a geometry-optimized Dy2ScAlS6 structure from the Alexandria database. Energies are from PBE.

SG: R3 (146)
VASP energy: -6.118 eV/atom
Density of states at the Fermi level: 0.00 states/eV/f.u.

Cell and atoms, written as POSCAR:
```
Dy2ScAlS6
1.0
3.3153 1.9141 5.7794
-3.3153 1.9141 5.7794
0.0000 -3.8282 5.7794
Dy Sc Al S
2 1 1 6
Cartesian
0.0000 0.0000 0.0000 Dy
0.0000 0.0000 8.6592 Dy
0.0000 0.0000 13.7792 Sc
0.0000 0.0000 5.1191 Al
-1.9344 -0.2190 6.6870 S
-1.2824 -2.1842 9.6629 S
1.1569 -1.5657 6.6870 S
-1.2504 2.2026 9.6629 S
0.7775 1.7848 6.6870 S
2.5327 -0.0185 9.6629 S
```

Record 11
Here is a geometry-optimized Ag7Te3S structure from the Alexandria database. Energies are from PBE.

SG: Cm (8)
VASP energy: -3.060 eV/atom
Density of states at the Fermi level: 5.07 states/eV/f.u.

Cell and atoms, written as POSCAR:
```
Ag7Te3S
1.0
4.9348 -4.5491 0.0000
4.9348 4.5491 0.0000
-4.4373 0.0000 6.0405
Ag Te S
7 3 1
Cartesian
0.0000 0.0000 0.0000 Ag
-1.5225 2.4525 5.9301 Ag
3.5848 2.5338 2.7999 Ag
-0.2679 0.0000 5.1495 Ag
-1.5225 -2.4525 5.9301 Ag
5.1811 0.0000 2.5010 Ag
3.5848 -2.5338 2.7999 Ag
0.9996 2.3267 4.3016 Te
2.5624 0.0000 1.4647 Te
0.9996 -2.3267 4.3016 Te
7.6046 0.0000 1.4165 S
```

Record 12
Here is a geometry-optimized ErMgPb3 structure from the Alexandria database. Energies are from PBE.

SG: P2/c (13)
VASP energy: -3.661 eV/atom
Formation enthalpy at 0 K: -19.7 kJ/mol of atoms
Density of states at the Fermi level: 2.34 states/eV/f.u.
Distance to the lowest polymorph of the same formula: 0 meV per atom

Cell and atoms, written as POSCAR:
```
ErMgPb3
1.0
6.4716 0.0000 0.0000
0.0000 13.3738 0.0000
-0.0203 0.0000 6.3885
Er Mg Pb
4 4 12
Cartesian
1.5929 2.5648 6.3882 Er
1.6031 10.8091 3.1940 Er
4.8482 2.5648 3.1946 Er
4.8584 10.8091 0.0003 Er
-0.0051 5.1027 1.5971 Mg
-0.0152 8.2712 4.7914 Mg
3.2307 5.1008 1.5971 Mg
3.2206 8.2730 4.7914 Mg
-0.0051 0.0120 1.5971 Pb
-0.0152 13.3618 4.7914 Pb
1.6016 5.6472 5.2135 Pb
1.6118 7.7267 2.0193 Pb
1.6121 2.9840 3.2250 Pb
1.6223 10.3898 0.0307 Pb
3.2307 0.0069 1.5971 Pb
3.2206 13.3670 4.7914 Pb
4.8290 2.9840 6.3578 Pb
4.8392 10.3898 3.1636 Pb
4.8395 5.6472 4.3693 Pb
4.8497 7.7267 1.1750 Pb
```